Li2MgW: optimized geometry, PBE.

Results
ΔH_f (0 K) = 0.472 eV per atom
crystal system = monoclinic
magnetic moment = 0.0 μB per formula unit
raw total energy = -16.49 eV/cell

The structure in extended XYZ format:
```
4
Lattice="4.6306 0.0000 0.0000 0.0000 2.5802 0.0733 0.0000 1.1123 5.6873" Properties=species:S:1:pos:R:3 pbc="T T T"
Mg 0.0000 1.6837 2.9731
Li 2.3153 0.4848 1.3627
Li 0.0000 1.5614 5.6553
W 2.3153 2.9212 4.3371
```